Entry 1:
SnIr2S | PBE | optimized geometry

Crystal system: tetragonal
Energy: -6.4271 eV per atom
Uncorrected formation energy: 0.0360 eV per atom
Total magnetic moment: 0.0 μB per formula unit

Cell and atoms, written as CIF:
```
data_SnIr2S
_cell_length_a 4.608
_cell_length_b 4.608
_cell_length_c 14.788
_cell_angle_alpha 90.00
_cell_angle_beta 90.00
_cell_angle_gamma 90.00
_space_group_name_H-M_alt 'I -4 2 d'
_space_group_IT_number 122
_space_group_name_Hall 'I -4 2bw'
loop_
_atom_site_label
_atom_site_type_symbol
_atom_site_fract_x
_atom_site_fract_y
_atom_site_fract_z
Sn1 Sn 0.000 0.000 0.000
Ir1 Ir 0.153 0.250 0.625
S1 S 0.000 0.000 0.500
```


Entry 2:
KSrAs2 | PBE | optimized geometry

Crystal system: monoclinic
Energy: -3.6510 eV per atom
Energy relative to the lowest polymorph listed for this composition: 0.074 eV/atom
Total magnetic moment: 0.0 μB per formula unit
Energy of formation: -631 meV/atom

Cell and atoms, written as CIF:
```
data_KSrAs2
_cell_length_a 11.937
_cell_length_b 4.084
_cell_length_c 5.168
_cell_angle_alpha 90.00
_cell_angle_beta 103.02
_cell_angle_gamma 90.00
_space_group_name_H-M_alt 'C 1 m 1'
_space_group_IT_number 8
loop_
_space_group_symop_operation_xyz
'x,y,z'
'x,-y,z'
'x+1/2,y+1/2,z'
'x+1/2,-y+1/2,z'
loop_
_atom_site_label
_atom_site_type_symbol
_atom_site_fract_x
_atom_site_fract_y
_atom_site_fract_z
K1 K 0.000 0.000 0.000
Sr1 Sr 0.239 0.500 0.547
As1 As 0.276 0.000 0.095
As2 As 0.445 0.000 0.455
```


Entry 3:
Tm3TcB7 | PBE | optimized geometry

Crystal system: orthorhombic
Energy: -7.0962 eV per atom
Total magnetic moment: 0.0 μB per formula unit
Energy of formation: -685 meV/atom

Cell and atoms, written as CIF:
```
data_Tm3TcB7
_cell_length_a 3.503
_cell_length_b 15.573
_cell_length_c 9.261
_cell_angle_alpha 90.00
_cell_angle_beta 90.00
_cell_angle_gamma 90.00
_space_group_name_H-M_alt 'C m c m'
_space_group_IT_number 63
_space_group_name_Hall '-C 2c 2'
loop_
_atom_site_label
_atom_site_type_symbol
_atom_site_fract_x
_atom_site_fract_y
_atom_site_fract_z
Tm1 Tm 0.000 0.105 0.059
Tm2 Tm 0.000 0.242 0.750
Tc1 Tc 0.000 0.053 0.750
B1 B 0.000 0.273 0.034
B2 B 0.000 0.368 0.150
B3 B 0.000 0.455 0.750
B4 B 0.000 0.480 0.095
```